No. 1
Entry from Alexandria via LeMat-Bulk: a relaxed LiAl2In2Au5 crystal (PBE-GGA).

Lattice parameters (Å, degrees): 3.864 9.949 9.949 90.00 90.00 90.00
Fractional coordinates of all 20 atoms:
1 Au 0.500 0.704 0.477
2 Au 0.500 0.023 0.796
3 Au 0.500 0.796 0.977
4 Au 0.500 0.523 0.704
5 Au 0.500 0.500 0.000
6 Au 0.500 0.296 0.523
7 Au 0.500 0.000 0.500
8 Au 0.500 0.477 0.296
9 Au 0.500 0.977 0.204
10 Au 0.500 0.204 0.023
11 In 0.000 0.675 0.175
12 In 0.000 0.325 0.825
13 In 0.000 0.175 0.325
14 In 0.000 0.825 0.675
15 Al 0.000 0.366 0.134
16 Al 0.000 0.634 0.866
17 Al 0.000 0.866 0.366
18 Al 0.000 0.134 0.634
19 Li 0.000 0.500 0.500
20 Li 0.000 0.000 0.000

Computed properties:
Its energy relative to the elements is -227 meV/atom. The density of states at the Fermi level comes out at 0.35 states/eV/atom. The size of the total moment comes out at 0.0 μB/cell.



No. 2
Entry from Alexandria via LeMat-Bulk: a relaxed BP2IrS crystal (PBE-GGA).

Lattice parameters (Å, degrees): 3.971 3.971 4.136 90.00 90.00 90.00
Fractional coordinates of all 5 atoms:
1 P 0.000 0.500 0.000
2 P 0.500 0.000 0.000
3 S 0.000 0.000 0.500
4 B 0.000 0.000 0.000
5 Ir 0.500 0.500 0.500

Computed properties:
The density of states at the Fermi level comes out at 0.42 states/eV/atom. The value obtained for the formation energy from raw total energies is 837.1 meV per atom. The size of the total moment comes out at 0.0 μB/cell.



No. 3
Entry from Alexandria via LeMat-Bulk: a relaxed AcCeIrPd crystal (PBE-GGA).

Lattice parameters (Å, degrees): 5.155 5.155 5.155 60.00 60.00 60.00
Site moments in Bohr magnetons follow the coordinates.
Fractional coordinates of all 4 atoms:
1 Ce 0.750 0.750 0.750  0.76
2 Ac 0.250 0.250 0.250  0.04
3 Pd 0.500 0.500 0.500  0.00
4 Ir 0.000 0.000 0.000  -0.04

Computed properties:
Its energy relative to the elements is -596 meV/atom. The density of states at the Fermi level comes out at 2.05 states/eV/atom. The size of the total moment comes out at 1.0 μB/cell.



No. 4
Entry from Alexandria via LeMat-Bulk: a relaxed ScAu crystal (PBE-GGA).

Lattice parameters (Å, degrees): 7.702 7.702 5.169 90.00 90.00 120.00
Fractional coordinates of all 12 atoms:
1 Sc 0.215 0.922 0.750
2 Sc 0.785 0.078 0.250
3 Sc 0.294 0.215 0.250
4 Sc 0.706 0.785 0.750
5 Sc 0.078 0.294 0.750
6 Sc 0.922 0.706 0.250
7 Au 0.461 0.352 0.750
8 Au 0.539 0.648 0.250
9 Au 0.352 0.891 0.250
10 Au 0.109 0.461 0.250
11 Au 0.648 0.109 0.750
12 Au 0.891 0.539 0.750

Computed properties:
Its energy relative to the elements is -568 meV/atom. The density of states at the Fermi level comes out at 0.66 states/eV/atom. The size of the total moment comes out at 0.0 μB/cell.